Material: Cr5Tc
Method: DFT, meta-GGA SCAN
State: PBEsol geometry

a = 4.740 Å, b = 4.740 Å, c = 5.716 Å
α = 107.59°, β = 107.59°, γ = 35.03°
Atoms (fractional coordinates):
Cr: 0.000 0.000 0.000
Cr: 0.330 0.330 0.159
Cr: 0.331 0.331 0.672
Cr: 0.669 0.669 0.328
Cr: 0.670 0.670 0.841
Tc: 0.000 0.000 0.500

Output
Offset from the most stable computed form (kJ/mol of atoms): 0.0
Energy relative to the elements (eV per formula unit): 0.03
D(E_F) (states/eV/atom): 0.732
Density (g/cm3): 8.5
Volume (Å³ per cell): 70
Total moment (μB per formula unit): 0.00
Final energy (eV per atom): -21.1587